[1]
The following is a PBE calculation of Li2SiNi2 after structural relaxation, from Alexandria via LeMat-Bulk.

Its electronic total energy is -0.333 Ry per atom. The calculation puts the total magnetization at 0.00 Bohr magnetons per cell.

Unit cell a=3.8913 b=3.8913 c=13.0892 alpha=90.00 beta=90.00 gamma=120.00
Space group R-3m (No. 166, hexagonal axes)
Unique sites:
1 Li 0.0000 0.0000 0.1956 [6 per cell]
2 Si 0.0000 0.0000 0.0000 [3 per cell]
3 Ni 0.0000 0.0000 0.3860 [6 per cell]



[2]
The following is a PBE calculation of NaN2F7 after structural relaxation, from Alexandria via LeMat-Bulk.

Its electronic total energy is -0.264 Ry per atom. The calculation puts the total magnetization at 0.68 Bohr magnetons per cell.

Unit cell a=6.3553 b=3.9242 c=6.3948 alpha=90.00 beta=116.34 gamma=90.00
Space group P2/m (No. 10)
Unique sites:
1 Na 0.0000 0.0000 0.0000 [1 per cell]
2 N 0.2101 0.5000 0.7903 [2 per cell]
3 F 0.0335 0.5000 0.2915 [2 per cell]
4 F 0.2243 0.0000 0.7774 [2 per cell]
5 F 0.2879 0.5000 0.0325 [2 per cell]
6 F 0.5000 0.5000 0.5000 [1 per cell]